# 1
The following is a PBE-GGA calculation of a relaxed structure of K3RbNa4, from Alexandria.

Computed properties:
Polymorph energy (0 for the lowest one)   39 meV/atom
ΔH_f (0 K)   0.5 eV per formula unit
Total moment   0.00 μB/f.u.
Raw total energy   -9.0 eV/cell
Density of states at the Fermi level   4.43 states/eV per cell

Lattice parameters (Å, degrees): 9.0781 9.0781 9.0781 127.13 77.09 128.29
With the nearest neighbours (Å) after each atom.
Fractional coordinates of all 8 atoms:
K (0.0000, 0.0000, 0.0000)  4 Na 3.87-4.22, 2 Rb 4.09, 2 K 4.15
K (0.0623, 0.7934, 0.2689)  6 Na 3.98-4.22, 1 K 4.15, 1 Rb 4.42
K (0.5245, 0.7934, 0.7311)  6 Na 3.98-4.22, 1 K 4.15, 1 Rb 4.42
Rb (0.9202, 0.4202, 0.5000)  4 K 4.09-4.42, 4 Na 4.12-4.15
Na (0.0840, 0.2996, 0.7844)  2 Na 3.85, 5 K 3.87-4.08, 1 Rb 4.15
Na (0.4799, 0.2521, 0.7722)  3 Na 3.68-3.85, 1 Rb 4.12
Na (0.4799, 0.7077, 0.2278)  3 Na 3.68-3.85, 1 Rb 4.12
Na (0.5152, 0.2996, 0.2156)  2 Na 3.85, 5 K 3.87-4.08, 1 Rb 4.15

***

# 2
The following is a PBE-GGA calculation of a relaxed structure of AlIrSe2, from Alexandria.

Computed properties:
Total moment   0.00 μB/f.u.
Raw total energy   -21.3 eV/cell
Density of states at the Fermi level   1.11 states/eV per cell

Lattice parameters (Å, degrees): 6.8666 6.8666 6.8666 148.48 148.19 45.39
With the nearest neighbours (Å) after each atom.
Fractional coordinates of all 4 atoms:
Al (0.0000, 0.0000, 0.0000)  4 Se 2.56, 4 Ir 2.65
Ir (0.5000, 0.5000, 0.0000)  4 Se 2.55, 4 Al 2.65
Se (0.3630, 0.8630, 0.5000)  2 Ir 2.55, 2 Al 2.56
Se (0.6370, 0.1370, 0.5000)  2 Ir 2.55, 2 Al 2.56

***

# 3
The following is a PBE-GGA calculation of a relaxed structure of Lu2OsBr, from Alexandria.

Computed properties:
Polymorph energy (0 for the lowest one)   0 meV/atom
Total moment   0.00 μB/f.u.
Raw total energy   -24.8 eV/cell
Density of states at the Fermi level   0.97 states/eV per cell

Lattice parameters (Å, degrees): 3.3412 3.3412 8.0725 90.00 90.00 90.00
With the nearest neighbours (Å) after each atom.
Fractional coordinates of all 4 atoms:
Lu (0.0000, 0.0000, 0.2019)  4 Os 2.87
Lu (0.0000, 0.0000, 0.7981)  4 Os 2.87
Os (0.5000, 0.5000, 0.0000)  8 Lu 2.87
Br (0.5000, 0.5000, 0.5000)  4 Br 3.34, 8 Lu 3.37

***

# 4
The following is a PBE-GGA calculation of a relaxed structure of MgZrPd14, from Alexandria.

Computed properties:
ΔH_f (0 K)   -5.2 eV per formula unit
Total moment   0.00 μB/f.u.
Raw total energy   -88.1 eV/cell
Density of states at the Fermi level   24.89 states/eV per cell

Lattice parameters (Å, degrees): 5.6443 5.6443 7.9044 90.00 90.00 90.00
With the nearest neighbours (Å) after each atom.
Fractional coordinates of all 16 atoms:
Mg (0.0000, 0.0000, 0.0000)  12 Pd 2.81-2.82
Zr (0.5000, 0.5000, 0.0000)  12 Pd 2.80-2.82
Pd (0.0000, 0.0000, 0.5000)  12 Pd 2.81-2.82
Pd (0.0000, 0.5000, 0.0000)  8 Pd 2.81, 2 Zr 2.82, 2 Mg 2.82
Pd (0.0000, 0.5000, 0.5000)  12 Pd 2.81-2.82
Pd (0.2504, 0.2504, 0.2497)  1 Zr 2.80, 10 Pd 2.81-2.83, 1 Mg 2.81
Pd (0.2504, 0.2504, 0.7503)  1 Zr 2.80, 10 Pd 2.81-2.83, 1 Mg 2.81
Pd (0.2504, 0.7496, 0.2497)  1 Zr 2.80, 10 Pd 2.81-2.83, 1 Mg 2.81
Pd (0.2504, 0.7496, 0.7503)  1 Zr 2.80, 10 Pd 2.81-2.83, 1 Mg 2.81
Pd (0.5000, 0.0000, 0.0000)  8 Pd 2.81, 2 Zr 2.82, 2 Mg 2.82
Pd (0.5000, 0.0000, 0.5000)  12 Pd 2.81-2.82
Pd (0.5000, 0.5000, 0.5000)  12 Pd 2.81-2.82
Pd (0.7496, 0.2504, 0.2497)  1 Zr 2.80, 10 Pd 2.81-2.83, 1 Mg 2.81
Pd (0.7496, 0.2504, 0.7503)  1 Zr 2.80, 10 Pd 2.81-2.83, 1 Mg 2.81
Pd (0.7496, 0.7496, 0.2497)  1 Zr 2.80, 10 Pd 2.81-2.83, 1 Mg 2.81
Pd (0.7496, 0.7496, 0.7503)  1 Zr 2.80, 10 Pd 2.81-2.83, 1 Mg 2.81

***

# 5
The following is a PBE-GGA calculation of a relaxed structure of YHgAsSe2, from Alexandria.

Computed properties:
Polymorph energy (0 for the lowest one)   191 meV/atom
Total moment   0.00 μB/f.u.
Raw total energy   -17.9 eV/cell
Density of states at the Fermi level   4.73 states/eV per cell

Lattice parameters (Å, degrees): 5.1824 5.1824 5.1390 90.00 90.00 90.00
With the nearest neighbours (Å) after each atom.
Fractional coordinates of all 5 atoms:
Y (0.0000, 0.0000, 0.0000)  8 Se 3.65, 4 As 3.66
Hg (0.5000, 0.5000, 0.5000)  2 As 2.57, 4 Se 2.59
As (0.5000, 0.5000, 0.0000)  2 Hg 2.57
Se (0.0000, 0.5000, 0.5000)  2 Hg 2.59
Se (0.5000, 0.0000, 0.5000)  2 Hg 2.59

***

# 6
The following is a PBE-GGA calculation of a relaxed structure of Cs2PdPb6, from Alexandria.

Computed properties:
ΔH_f (0 K)   -1.4 eV per formula unit
Total moment   0.00 μB/f.u.
Raw total energy   -30.6 eV/cell
Density of states at the Fermi level   2.92 states/eV per cell

Lattice parameters (Å, degrees): 7.5032 7.5032 6.8003 90.00 90.00 120.00
With the nearest neighbours (Å) after each atom.
Fractional coordinates of all 9 atoms:
Cs (0.3333, 0.6667, 0.1530)  12 Pb 3.91-4.34
Cs (0.6667, 0.3333, 0.8470)  12 Pb 3.91-4.34
Pd (0.0000, 0.0000, 0.0000)  6 Pb 2.89
Pb (0.1509, 0.3019, 0.6869)  1 Pd 2.89, 2 Pb 3.21
Pb (0.1509, 0.8491, 0.6869)  1 Pd 2.89, 2 Pb 3.21
Pb (0.3019, 0.1509, 0.3131)  1 Pd 2.89, 2 Pb 3.21
Pb (0.6981, 0.8491, 0.6869)  1 Pd 2.89, 2 Pb 3.21
Pb (0.8491, 0.1509, 0.3131)  1 Pd 2.89, 2 Pb 3.21
Pb (0.8491, 0.6981, 0.3131)  1 Pd 2.89, 2 Pb 3.21

***

# 7
The following is a PBE-GGA calculation of a relaxed structure of SrAcGa2Pd5, from Alexandria.

Computed properties:
ΔH_f (0 K)   -6.1 eV per formula unit
Total moment   0.00 μB/f.u.
Raw total energy   -43.9 eV/cell
Density of states at the Fermi level   4.49 states/eV per cell

Lattice parameters (Å, degrees): 4.5935 4.5935 8.6949 90.00 90.00 90.00
With the nearest neighbours (Å) after each atom.
Fractional coordinates of all 9 atoms:
Sr (0.0000, 0.0000, 0.0000)  12 Pd 3.03-3.25
Ac (0.0000, 0.0000, 0.5000)  8 Pd 3.30, 8 Ga 3.52
Ga (0.5000, 0.5000, 0.3435)  4 Pd 2.51, 1 Ga 2.72
Ga (0.5000, 0.5000, 0.6565)  4 Pd 2.51, 1 Ga 2.72
Pd (0.0000, 0.5000, 0.2275)  2 Ga 2.51
Pd (0.0000, 0.5000, 0.7725)  2 Ga 2.51
Pd (0.5000, 0.0000, 0.2275)  2 Ga 2.51
Pd (0.5000, 0.0000, 0.7725)  2 Ga 2.51
Pd (0.5000, 0.5000, 0.0000)  2 Ga 2.99, 8 Pd 3.03, 4 Sr 3.25

***

# 8
The following is a PBE-GGA calculation of a relaxed structure of CeNdHo4S8, from Alexandria.

Computed properties:
Total moment   1.65 μB/f.u.
Raw total energy   -88.7 eV/cell
Density of states at the Fermi level   12.53 states/eV per cell

Lattice parameters (Å, degrees): 8.1683 8.1683 8.1683 59.38 59.38 59.38
With the nearest neighbours (Å) after each atom.
Fractional coordinates of all 14 atoms:
Ce (0.0000, 0.0000, 0.0000)  4 S 2.71-2.74
Nd (0.6261, 0.6261, 0.6261)  6 S 2.83-2.88
Ho (0.1268, 0.6265, 0.6265)  6 S 2.72-2.78
Ho (0.2524, 0.2524, 0.2524)  4 S 2.61-2.65
Ho (0.6265, 0.1268, 0.6265)  6 S 2.72-2.78
Ho (0.6265, 0.6265, 0.1268)  6 S 2.72-2.78
S (0.3761, 0.3761, 0.8592)  3 Ho 2.61-2.77, 1 Nd 2.88
S (0.3761, 0.8592, 0.3761)  3 Ho 2.61-2.77, 1 Nd 2.88
S (0.3844, 0.3844, 0.3844)  4 Ho 2.65-2.78
S (0.4087, 0.8715, 0.8715)  1 Ce 2.71, 2 Ho 2.72, 1 Nd 2.83
S (0.8592, 0.3761, 0.3761)  3 Ho 2.61-2.77, 1 Nd 2.88
S (0.8637, 0.8637, 0.8637)  3 Ho 2.73, 1 Ce 2.74
S (0.8715, 0.4087, 0.8715)  1 Ce 2.71, 2 Ho 2.72, 1 Nd 2.83
S (0.8715, 0.8715, 0.4087)  1 Ce 2.71, 2 Ho 2.72, 1 Nd 2.83

***

# 9
The following is a PBE-GGA calculation of a relaxed structure of Ho2TmTlN, from Alexandria.

Computed properties:
Total moment   0.00 μB/f.u.
Raw total energy   -29.1 eV/cell
Density of states at the Fermi level   2.57 states/eV per cell

Lattice parameters (Å, degrees): 4.7914 4.7914 4.7392 90.00 90.00 90.00
With the nearest neighbours (Å) after each atom.
Fractional coordinates of all 5 atoms:
Ho (0.0000, 0.5000, 0.0000)  2 N 2.40
Ho (0.5000, 0.0000, 0.0000)  2 N 2.40
Tm (0.0000, 0.0000, 0.5000)  2 N 2.37
Tl (0.5000, 0.5000, 0.5000)  8 Ho 3.37, 4 Tm 3.39
N (0.0000, 0.0000, 0.0000)  2 Tm 2.37, 4 Ho 2.40

***

# 10
The following is a PBE-GGA calculation of a relaxed structure of LaRe2Sb, from Alexandria.

Computed properties:
Total moment   0.00 μB/f.u.
Raw total energy   -32.2 eV/cell
Density of states at the Fermi level   3.74 states/eV per cell

Lattice parameters (Å, degrees): 5.9667 5.9667 5.9667 148.11 126.68 63.48
With the nearest neighbours (Å) after each atom.
Fractional coordinates of all 4 atoms:
La (0.0000, 0.0000, 0.0000)  8 Re 3.14-3.47, 2 La 3.28, 4 Sb 3.29-3.48
Re (0.3018, 0.8018, 0.5000)  2 Re 2.45
Re (0.4809, 0.4809, 0.0000)  2 Re 2.45
Sb (0.7191, 0.2191, 0.5000)  6 Re 2.92-3.25

***

# 11
The following is a PBE-GGA calculation of a relaxed structure of Er6Si2Pb, from Alexandria.

Computed properties:
Total moment   0.00 μB/f.u.
Raw total energy   -93.5 eV/cell
Density of states at the Fermi level   12.02 states/eV per cell

Lattice parameters (Å, degrees): 8.4523 8.4523 8.4523 112.45 110.83 105.21
With the nearest neighbours (Å) after each atom.
Fractional coordinates of all 18 atoms:
Er (0.0315, 0.2402, 0.7912)  2 Si 2.92-3.16, 1 Pb 3.18
Er (0.1865, 0.2798, 0.4663)  3 Si 2.98-3.17, 1 Pb 3.18
Er (0.1865, 0.7202, 0.9067)  3 Si 2.98-3.17, 1 Pb 3.18
Er (0.3199, 0.0224, 0.7025)  3 Si 2.83-2.93
Er (0.3199, 0.6174, 0.2975)  3 Si 2.83-2.93
Er (0.4490, 0.2402, 0.2088)  2 Si 2.92-3.16, 1 Pb 3.18
Er (0.5510, 0.7598, 0.7912)  2 Si 2.92-3.16, 1 Pb 3.18
Er (0.6801, 0.3826, 0.7025)  3 Si 2.83-2.93
Er (0.6801, 0.9776, 0.2975)  3 Si 2.83-2.93
Er (0.8135, 0.2798, 0.0933)  3 Si 2.98-3.17, 1 Pb 3.18
Er (0.8135, 0.7202, 0.5337)  3 Si 2.98-3.17, 1 Pb 3.18
Er (0.9685, 0.7598, 0.2088)  2 Si 2.92-3.16, 1 Pb 3.18
Si (0.1159, 0.6159, 0.5000)  1 Si 2.38
Si (0.3710, 0.0000, 0.3710)  1 Si 2.48
Si (0.6290, 0.0000, 0.6290)  1 Si 2.48
Si (0.8841, 0.3841, 0.5000)  1 Si 2.38
Pb (0.0000, 0.0000, 0.0000)  8 Er 3.18
Pb (0.5000, 0.5000, 0.0000)  12 Er 3.34-3.65

***

# 12
The following is a PBE-GGA calculation of a relaxed structure of LiFeCo2N, from Alexandria.

Computed properties:
Total moment   4.67 μB/f.u.
Raw total energy   -33.2 eV/cell
Density of states at the Fermi level   4.78 states/eV per cell

Lattice parameters (Å, degrees): 3.7467 3.7467 3.7845 90.00 90.00 90.00
With the nearest neighbours (Å) after each atom.
Fractional coordinates of all 5 atoms:
Li (0.0000, 0.0000, 0.0000)  4 Fe 2.65, 8 Co 2.66
Fe (0.5000, 0.5000, 0.0000)  2 N 1.89
Co (0.0000, 0.5000, 0.5000)  2 N 1.87
Co (0.5000, 0.0000, 0.5000)  2 N 1.87
N (0.5000, 0.5000, 0.5000)  4 Co 1.87, 2 Fe 1.89

***

> Which of these has the highest density of states at the Fermi level?

MgZrPd14

***

Please write out number 4 again, unchanged.
The following is a PBE-GGA calculation of a relaxed structure of MgZrPd14, from Alexandria.

Computed properties:
ΔH_f (0 K)   -5.2 eV per formula unit
Total moment   0.00 μB/f.u.
Raw total energy   -88.1 eV/cell
Density of states at the Fermi level   24.89 states/eV per cell

Lattice parameters (Å, degrees): 5.6443 5.6443 7.9044 90.00 90.00 90.00
With the nearest neighbours (Å) after each atom.
Fractional coordinates of all 16 atoms:
Mg (0.0000, 0.0000, 0.0000)  12 Pd 2.81-2.82
Zr (0.5000, 0.5000, 0.0000)  12 Pd 2.80-2.82
Pd (0.0000, 0.0000, 0.5000)  12 Pd 2.81-2.82
Pd (0.0000, 0.5000, 0.0000)  8 Pd 2.81, 2 Zr 2.82, 2 Mg 2.82
Pd (0.0000, 0.5000, 0.5000)  12 Pd 2.81-2.82
Pd (0.2504, 0.2504, 0.2497)  1 Zr 2.80, 10 Pd 2.81-2.83, 1 Mg 2.81
Pd (0.2504, 0.2504, 0.7503)  1 Zr 2.80, 10 Pd 2.81-2.83, 1 Mg 2.81
Pd (0.2504, 0.7496, 0.2497)  1 Zr 2.80, 10 Pd 2.81-2.83, 1 Mg 2.81
Pd (0.2504, 0.7496, 0.7503)  1 Zr 2.80, 10 Pd 2.81-2.83, 1 Mg 2.81
Pd (0.5000, 0.0000, 0.0000)  8 Pd 2.81, 2 Zr 2.82, 2 Mg 2.82
Pd (0.5000, 0.0000, 0.5000)  12 Pd 2.81-2.82
Pd (0.5000, 0.5000, 0.5000)  12 Pd 2.81-2.82
Pd (0.7496, 0.2504, 0.2497)  1 Zr 2.80, 10 Pd 2.81-2.83, 1 Mg 2.81
Pd (0.7496, 0.2504, 0.7503)  1 Zr 2.80, 10 Pd 2.81-2.83, 1 Mg 2.81
Pd (0.7496, 0.7496, 0.2497)  1 Zr 2.80, 10 Pd 2.81-2.83, 1 Mg 2.81
Pd (0.7496, 0.7496, 0.7503)  1 Zr 2.80, 10 Pd 2.81-2.83, 1 Mg 2.81

***

> What is the formula in the eighth record?

CeNdHo4S8